i:
A plane-wave DFT calculation with GGA-PBE was carried out for a relaxed structure of BaCdBAu.

Lattice parameters (Å, degrees): 5.1322 5.1322 5.1322 60.00 60.00 60.00
With the nearest neighbours (Å) after each atom.
Element x y z (fractional)
Cd 0.0000 0.0000 0.0000  4 Au 3.14, 4 B 3.14
Au 0.7500 0.7500 0.7500  4 Ba 3.14, 4 Cd 3.14
B 0.2500 0.2500 0.2500  4 Ba 3.14, 4 Cd 3.14
Ba 0.5000 0.5000 0.5000  4 Au 3.14, 4 B 3.14

- Calculated volume: 96 Å³ per cell
- Space group: F-43m (216)

---

ii:
A plane-wave DFT calculation with GGA-PBE was carried out for a relaxed structure of BaCdBAu.

Lattice parameters (Å, degrees): 5.1960 5.1960 5.1960 60.00 60.00 60.00
With the nearest neighbours (Å) after each atom.
Element x y z (fractional)
Ba 0.5000 0.5000 0.5000  4 Cd 3.18, 4 Au 3.18
B 0.0000 0.0000 0.0000  4 Cd 3.18, 4 Au 3.18
Au 0.7500 0.7500 0.7500  4 Ba 3.18, 4 B 3.18
Cd 0.2500 0.2500 0.2500  4 Ba 3.18, 4 B 3.18

- Calculated volume: 99 Å³ per cell
- Space group: F-43m (216)

---

Energies relative to the most stable structure are i 0; ii 231, reported in meV/atom.

---

i:
A plane-wave DFT calculation with GGA-PBE was carried out for a relaxed structure of BaMgBAu.

Lattice parameters (Å, degrees): 5.0567 5.0567 5.0567 60.00 60.00 60.00
With the nearest neighbours (Å) after each atom.
Element x y z (fractional)
Mg 0.2500 0.2500 0.2500  4 Ba 3.10, 4 B 3.10
Au 0.7500 0.7500 0.7500  4 B 3.10, 4 Ba 3.10
B 0.0000 0.0000 0.0000  4 Au 3.10, 4 Mg 3.10
Ba 0.5000 0.5000 0.5000  4 Mg 3.10, 4 Au 3.10

- Calculated volume: 91 Å³ per cell
- Space group: F-43m (216)

---

ii:
A plane-wave DFT calculation with GGA-PBE was carried out for a relaxed structure of BaMgBAu.

Lattice parameters (Å, degrees): 5.0907 5.0907 5.0907 60.00 60.00 60.00
With the nearest neighbours (Å) after each atom.
Element x y z (fractional)
Au 0.7500 0.7500 0.7500  4 Mg 3.12, 4 Ba 3.12
Mg 0.0000 0.0000 0.0000  4 Au 3.12, 4 B 3.12
B 0.2500 0.2500 0.2500  4 Ba 3.12, 4 Mg 3.12
Ba 0.5000 0.5000 0.5000  4 B 3.12, 4 Au 3.12

- Calculated volume: 93 Å³ per cell
- Space group: F-43m (216)

---

Energies relative to the most stable structure are i 300; ii 0, reported in meV/atom.

---

i:
A plane-wave DFT calculation with GGA-PBE was carried out for a relaxed structure of BeCuBAu.

Lattice parameters (Å, degrees): 4.0379 4.0379 4.0379 60.00 60.00 60.00
With the nearest neighbours (Å) after each atom.
Element x y z (fractional)
B 0.0000 0.0000 0.0000  4 Cu 2.47, 4 Be 2.47
Au 0.5000 0.5000 0.5000  4 Cu 2.47, 4 Be 2.47
Be 0.2500 0.2500 0.2500  4 B 2.47, 4 Au 2.47
Cu 0.7500 0.7500 0.7500  4 B 2.47, 4 Au 2.47

- Calculated volume: 47 Å³ per cell
- Space group: F-43m (216)

---

ii:
A plane-wave DFT calculation with GGA-PBE was carried out for a relaxed structure of BeCuBAu.

Lattice parameters (Å, degrees): 3.9541 3.9541 3.9541 60.00 60.00 60.00
With the nearest neighbours (Å) after each atom.
Element x y z (fractional)
Be 0.5000 0.5000 0.5000  4 Au 2.42, 4 Cu 2.42
Cu 0.7500 0.7500 0.7500  4 B 2.42, 4 Be 2.42
B 0.0000 0.0000 0.0000  4 Cu 2.42, 4 Au 2.42
Au 0.2500 0.2500 0.2500  4 Be 2.42, 4 B 2.42

- Calculated volume: 44 Å³ per cell
- Space group: F-43m (216)

---

Energies relative to the most stable structure are i 240; ii 0, reported in meV/atom.